A plane-wave DFT calculation with PBE was carried out for a geometry-optimized HfFeCuSn structure.

Lattice parameters (Å, degrees): 6.468 6.468 6.468 90.00 90.00 90.00
Space group F-43m (No. 216)
One atom of each set of equivalent atoms:
1 Hf 0.000 0.000 0.000 x4
2 Fe 0.250 0.250 0.750 x4
3 Cu 0.000 0.000 0.500 x4
4 Sn 0.250 0.250 0.250 x4

Summary:
The value obtained for the energy above the most stable polymorph in this dataset is 270.5 meV/atom. The raw total energy comes out at -101.8 eV per cell.

A plane-wave DFT calculation with PBE was carried out for a geometry-optimized InFeCuHg structure.

Lattice parameters (Å, degrees): 6.434 6.434 6.434 90.00 90.00 90.00
Space group F-43m (No. 216)
One atom of each set of equivalent atoms:
1 In 0.000 0.000 0.000 x4
2 Fe 0.250 0.250 0.750 x4
3 Cu 0.250 0.250 0.250 x4
4 Hg 0.000 0.000 0.500 x4

Summary:
The value obtained for the energy above the most stable polymorph in this dataset is 0.0 meV/atom. The raw total energy comes out at -55.2 eV per cell.

A plane-wave DFT calculation with PBE was carried out for a geometry-optimized FeCuHgPb structure.

Lattice parameters (Å, degrees): 6.777 6.777 6.777 90.00 90.00 90.00
Space group F-43m (No. 216)
One atom of each set of equivalent atoms:
1 Fe 0.000 0.000 0.000 x4
2 Cu 0.250 0.250 0.750 x4
3 Hg 0.250 0.250 0.250 x4
4 Pb 0.000 0.000 0.500 x4

Summary:
The value obtained for the energy above the most stable polymorph in this dataset is 156.5 meV/atom. The raw total energy comes out at -53.9 eV per cell.

A plane-wave DFT calculation with PBE was carried out for a geometry-optimized FeCuHgPb structure.

Lattice parameters (Å, degrees): 6.655 6.655 6.655 90.00 90.00 90.00
Space group F-43m (No. 216)
One atom of each set of equivalent atoms:
1 Fe 0.000 0.000 0.000 x4
2 Cu 0.000 0.000 0.500 x4
3 Hg 0.250 0.250 0.750 x4
4 Pb 0.250 0.250 0.250 x4

Summary:
The value obtained for the energy above the most stable polymorph in this dataset is 0.0 meV/atom. The raw total energy comes out at -56.4 eV per cell.

A plane-wave DFT calculation with PBE was carried out for a geometry-optimized FeCuSnHg structure.

Lattice parameters (Å, degrees): 6.478 6.478 6.478 90.00 90.00 90.00
Space group F-43m (No. 216)
One atom of each set of equivalent atoms:
1 Fe 0.000 0.000 0.000 x4
2 Cu 0.000 0.000 0.500 x4
3 Sn 0.250 0.250 0.250 x4
4 Hg 0.250 0.250 0.750 x4

Summary:
The value obtained for the energy above the most stable polymorph in this dataset is 0.0 meV/atom. The raw total energy comes out at -60.0 eV per cell.

A plane-wave DFT calculation with PBE was carried out for a geometry-optimized TlFeCuHg structure.

Lattice parameters (Å, degrees): 6.564 6.564 6.564 90.00 90.00 90.00
Space group F-43m (No. 216)
One atom of each set of equivalent atoms:
1 Tl 0.000 0.000 0.000 x4
2 Fe 0.250 0.250 0.750 x4
3 Cu 0.250 0.250 0.250 x4
4 Hg 0.000 0.000 0.500 x4

Summary:
The value obtained for the energy above the most stable polymorph in this dataset is 0.0 meV/atom. The raw total energy comes out at -51.1 eV per cell.

A plane-wave DFT calculation with PBE was carried out for a geometry-optimized TlFeCuHg structure.

Lattice parameters (Å, degrees): 6.661 6.661 6.661 90.00 90.00 90.00
Space group F-43m (No. 216)
One atom of each set of equivalent atoms:
1 Tl 0.000 0.000 0.000 x4
2 Fe 0.000 0.000 0.500 x4
3 Cu 0.250 0.250 0.250 x4
4 Hg 0.250 0.250 0.750 x4

Summary:
The value obtained for the energy above the most stable polymorph in this dataset is 132.9 meV/atom. The raw total energy comes out at -49.0 eV per cell.

A plane-wave DFT calculation with PBE was carried out for a geometry-optimized TbHo2In3Fe2Cu structure.

Lattice parameters (Å, degrees): 3.898 12.916 7.454 90.00 90.00 90.00
Space group Amm2 (No. 38)
One atom of each set of equivalent atoms:
1 Tb 0.000 0.000 0.000 x2
2 Ho 0.000 0.205 0.617 x4
3 In 0.500 0.000 0.669 x2
4 In 0.500 0.129 0.283 x4
5 Fe 0.500 0.167 0.911 x4
6 Cu 0.000 0.000 0.412 x2

Summary:
The raw total energy comes out at -88.6 eV per cell.

A plane-wave DFT calculation with PBE was carried out for a geometry-optimized HoTm2In3Fe2Cu structure.

Lattice parameters (Å, degrees): 3.880 12.824 7.396 90.00 90.00 90.00
Space group Amm2 (No. 38)
One atom of each set of equivalent atoms:
1 Ho 0.000 0.000 0.000 x2
2 Tm 0.000 0.205 0.615 x4
3 In 0.500 0.000 0.669 x2
4 In 0.500 0.130 0.281 x4
5 Fe 0.500 0.167 0.911 x4
6 Cu 0.000 0.000 0.411 x2

Summary:
The raw total energy comes out at -88.0 eV per cell.

A plane-wave DFT calculation with PBE was carried out for a geometry-optimized Ho2TmIn3Fe2Cu structure.

Lattice parameters (Å, degrees): 3.900 12.810 7.408 90.00 90.00 90.00
Space group Amm2 (No. 38)
One atom of each set of equivalent atoms:
1 Ho 0.000 0.205 0.000 x4
2 Tm 0.000 0.000 0.386 x2
3 In 0.500 0.000 0.055 x2
4 In 0.500 0.129 0.665 x4
5 Fe 0.500 0.166 0.295 x4
6 Cu 0.000 0.000 0.794 x2

Summary:
The raw total energy comes out at -88.2 eV per cell.

A plane-wave DFT calculation with PBE was carried out for a geometry-optimized HoFeCuSi2 structure.

Lattice parameters (Å, degrees): 3.948 3.948 9.790 90.00 90.00 90.00
Space group I-4m2 (No. 119)
One atom of each set of equivalent atoms:
1 Ho 0.000 0.000 0.000 x2
2 Fe 0.000 0.500 0.250 x2
3 Cu 0.000 0.500 0.750 x2
4 Si 0.000 0.000 0.378 x4

Summary:
The raw total energy comes out at -60.7 eV per cell.

A plane-wave DFT calculation with PBE was carried out for a geometry-optimized Ho2TlFeCu structure.

Lattice parameters (Å, degrees): 3.696 4.001 14.269 90.00 90.00 90.00
Space group Amm2 (No. 38)
One atom of each set of equivalent atoms:
1 Ho 0.000 0.000 0.000 x2
2 Ho 0.000 0.000 0.275 x2
3 Tl 0.500 0.000 0.642 x2
4 Fe 0.500 0.000 0.842 x2
5 Cu 0.500 0.000 0.438 x2

Summary:
The raw total energy comes out at -48.9 eV per cell.

A plane-wave DFT calculation with PBE was carried out for a geometry-optimized Y2FeCuI2 structure.

Lattice parameters (Å, degrees): 4.1082 4.1082 11.9312 90.00 90.00 120.00
Space group P3m1 (No. 156)
One atom of each set of equivalent atoms:
1 Y 0.0000 0.0000 0.0000 x1
2 Y 0.0000 0.0000 0.3083 x1
3 Fe 0.3333 0.6667 0.1561 x1
4 Cu 0.6667 0.3333 0.1490 x1
5 I 0.3333 0.6667 0.8228 x1
6 I 0.6667 0.3333 0.4843 x1

Summary:
The raw total energy comes out at -32.0 eV per cell.

A plane-wave DFT calculation with PBE was carried out for a geometry-optimized In2FeCu5 structure.

Lattice parameters (Å, degrees): 4.265 4.265 6.137 90.00 90.00 90.00
Space group P4/mmm (No. 123)
One atom of each set of equivalent atoms:
1 In 0.000 0.000 0.000 x1
2 In 0.500 0.500 0.500 x1
3 Fe 0.000 0.000 0.500 x1
4 Cu 0.000 0.500 0.251 x4
5 Cu 0.500 0.500 0.000 x1

Summary:
The value obtained for the energy above the most stable polymorph in this dataset is 0.0 meV/atom. The raw total energy comes out at -31.5 eV per cell.

A plane-wave DFT calculation with PBE was carried out for a geometry-optimized In2FeCu5 structure.

Lattice parameters (Å, degrees): 4.232 4.232 6.131 90.00 90.00 90.00
Space group P4/mmm (No. 123)
One atom of each set of equivalent atoms:
1 In 0.000 0.000 0.000 x1
2 In 0.500 0.500 0.500 x1
3 Fe 0.000 0.000 0.500 x1
4 Cu 0.000 0.500 0.251 x4
5 Cu 0.500 0.500 0.000 x1

Summary:
The value obtained for the energy above the most stable polymorph in this dataset is 7.7 meV/atom. The raw total energy comes out at -31.4 eV per cell.

A plane-wave DFT calculation with PBE was carried out for a geometry-optimized InFeCuIr structure.

Lattice parameters (Å, degrees): 6.212 6.212 6.212 90.00 90.00 90.00
Space group F-43m (No. 216)
One atom of each set of equivalent atoms:
1 In 0.000 0.000 0.000 x4
2 Fe 0.000 0.000 0.500 x4
3 Cu 0.250 0.250 0.250 x4
4 Ir 0.250 0.250 0.750 x4

Summary:
The value obtained for the energy above the most stable polymorph in this dataset is 0.0 meV/atom. The raw total energy comes out at -93.3 eV per cell.

A plane-wave DFT calculation with PBE was carried out for a geometry-optimized LiInFeCu structure.

Lattice parameters (Å, degrees): 6.040 6.040 6.040 90.00 90.00 90.00
Space group F-43m (No. 216)
One atom of each set of equivalent atoms:
1 Li 0.000 0.000 0.000 x4
2 In 0.250 0.250 0.250 x4
3 Fe 0.000 0.000 0.500 x4
4 Cu 0.250 0.250 0.750 x4

Summary:
The value obtained for the energy above the most stable polymorph in this dataset is 0.0 meV/atom. The raw total energy comes out at -64.8 eV per cell.

A plane-wave DFT calculation with PBE was carried out for a geometry-optimized TmLu2In3Fe2Cu structure.

Lattice parameters (Å, degrees): 3.846 12.832 7.401 90.00 90.00 90.00
Space group Amm2 (No. 38)
One atom of each set of equivalent atoms:
1 Tm 0.000 0.000 0.000 x2
2 Lu 0.000 0.205 0.383 x4
3 In 0.500 0.000 0.329 x2
4 In 0.500 0.130 0.718 x4
5 Fe 0.500 0.167 0.089 x4
6 Cu 0.000 0.000 0.588 x2

Summary:
The raw total energy comes out at -87.8 eV per cell.

A plane-wave DFT calculation with PBE was carried out for a geometry-optimized MgIn2FeCu4 structure.

Lattice parameters (Å, degrees): 4.349 4.349 6.307 90.00 90.00 90.00
Space group P4/mmm (No. 123)
One atom of each set of equivalent atoms:
1 Mg 0.000 0.000 0.000 x1
2 In 0.000 0.000 0.500 x1
3 In 0.500 0.500 0.000 x1
4 Fe 0.500 0.500 0.500 x1
5 Cu 0.000 0.500 0.261 x4

Summary:
The raw total energy comes out at -29.8 eV per cell.

A plane-wave DFT calculation with PBE was carried out for a geometry-optimized InFeCuMo structure.

Lattice parameters (Å, degrees): 6.143 6.143 6.143 90.00 90.00 90.00
Space group F-43m (No. 216)
One atom of each set of equivalent atoms:
1 In 0.000 0.000 0.000 x4
2 Fe 0.250 0.250 0.750 x4
3 Cu 0.250 0.250 0.250 x4
4 Mo 0.000 0.000 0.500 x4

Summary:
The value obtained for the energy above the most stable polymorph in this dataset is 0.0 meV/atom. The raw total energy comes out at -97.8 eV per cell.

A plane-wave DFT calculation with PBE was carried out for a geometry-optimized InFeCuNi structure.

Lattice parameters (Å, degrees): 6.036 6.036 6.036 90.00 90.00 90.00
Space group F-43m (No. 216)
One atom of each set of equivalent atoms:
1 In 0.000 0.000 0.000 x4
2 Fe 0.000 0.000 0.500 x4
3 Cu 0.250 0.250 0.250 x4
4 Ni 0.250 0.250 0.750 x4

Summary:
The value obtained for the energy above the most stable polymorph in this dataset is 0.0 meV/atom. The raw total energy comes out at -80.0 eV per cell.

A plane-wave DFT calculation with PBE was carried out for a geometry-optimized In2FeCu4Ni structure.

Lattice parameters (Å, degrees): 4.250 4.250 6.022 90.00 90.00 90.00
Space group P4/mmm (No. 123)
One atom of each set of equivalent atoms:
1 In 0.000 0.000 0.000 x1
2 In 0.500 0.500 0.500 x1
3 Fe 0.000 0.000 0.500 x1
4 Cu 0.000 0.500 0.250 x4
5 Ni 0.500 0.500 0.000 x1

Summary:
The raw total energy comes out at -33.3 eV per cell.

A plane-wave DFT calculation with PBE was carried out for a geometry-optimized InFeCuRe structure.

Lattice parameters (Å, degrees): 6.124 6.124 6.124 90.00 90.00 90.00
Space group F-43m (No. 216)
One atom of each set of equivalent atoms:
1 In 0.000 0.000 0.000 x4
2 Fe 0.250 0.250 0.750 x4
3 Cu 0.250 0.250 0.250 x4
4 Re 0.000 0.000 0.500 x4

Summary:
The value obtained for the energy above the most stable polymorph in this dataset is 0.0 meV/atom. The raw total energy comes out at -101.5 eV per cell.

A plane-wave DFT calculation with PBE was carried out for a geometry-optimized InFeCuS3 structure.

Lattice parameters (Å, degrees): 3.487 13.281 9.135 90.00 90.00 90.00
Space group Cmcm (No. 63)
One atom of each set of equivalent atoms:
1 In 0.000 0.190 0.250 x4
2 Fe 0.000 0.500 0.000 x4
3 Cu 0.000 0.153 0.750 x4
4 S 0.000 0.111 0.523 x8
5 S 0.000 0.457 0.750 x4

Summary:
The raw total energy comes out at -114.1 eV per cell.

A plane-wave DFT calculation with PBE was carried out for a geometry-optimized InFeCuSeS2 structure.

Lattice parameters (Å, degrees): 3.447 13.458 9.405 90.00 90.00 90.00
Space group Cmcm (No. 63)
One atom of each set of equivalent atoms:
1 In 0.000 0.209 0.250 x4
2 Fe 0.000 0.500 0.000 x4
3 Cu 0.000 0.137 0.750 x4
4 Se 0.000 0.457 0.750 x4
5 S 0.000 0.112 0.520 x8

Summary:
The raw total energy comes out at -110.9 eV per cell.

A plane-wave DFT calculation with PBE was carried out for a geometry-optimized InFeCuTe2S structure.

Lattice parameters (Å, degrees): 3.835 14.679 9.309 90.00 90.00 90.00
Space group Cmcm (No. 63)
One atom of each set of equivalent atoms:
1 In 0.000 0.239 0.250 x4
2 Fe 0.000 0.500 0.000 x4
3 Cu 0.000 0.014 0.750 x4
4 Te 0.000 0.134 0.547 x8
5 S 0.000 0.435 0.750 x4

Summary:
The raw total energy comes out at -102.1 eV per cell.